## InP2IO (GGA-PBE)

Data for a relaxed structure of InP2IO.

## Properties
* ΔE to the lowest computed polymorph: 0.000 eV/atom
* size of the total moment: 0.005 μB per formula unit
* energy relative to the elements, uncorrected: 0.600 eV/atom
* symmetry: P4/mmm
* mass density: 4.69 g cm⁻³
* DOS at the Fermi energy: 5.1 states/eV per cell

Lattice parameters (Å, degrees): 5.2884 5.2884 4.0505 90.00 90.00 90.00
Element x y z (fractional)
In1 0.0000 0.0000 0.0000
P1 0.0000 0.5000 0.0000
P2 0.5000 0.0000 0.0000
I1 0.5000 0.5000 0.5000
O1 0.0000 0.0000 0.5000